VASP calculation (PBE with a Hubbard U) on a geometry-optimized Mn3TeO6 structure.

The total energy comes out at -7.0012 eV per atom. As for the energy relative to the lowest polymorph listed for this composition: 31.3 meV per atom.

abc: 5.4324 5.4324 14.2917
angles: 90.00 90.00 120.00
Closest atoms and distances in Å follow each position.
Space group R3 (No. 146, hexagonal axes)
Inequivalent atoms, fractional coordinates:
1 Mn 0.0000 0.0000 0.0000 x3  6 O 2.14-2.33
2 Mn 0.0000 0.0000 0.2174 x3  6 O 2.13-2.34
3 Mn 0.0000 0.0000 0.7255 x3  6 O 2.16-2.37
4 Te 0.0000 0.0000 0.5124 x3  6 O 1.96-1.98
5 O 0.0139 0.2901 0.5998 x9  1 Te 1.98, 2 Mn 2.13-2.14
6 O 0.0461 0.7056 0.1082 x9  1 Te 1.96, 1 Mn 2.16


VASP calculation (PBE with a Hubbard U) on a geometry-optimized Mn3TeO structure.

The total energy comes out at -6.3638 eV per atom. As for the energy relative to the lowest polymorph listed for this composition: 0.0 meV per atom.

abc: 4.4957 4.4957 4.4957
angles: 90.00 90.00 90.00
Closest atoms and distances in Å follow each position.
Space group Pm-3m (No. 221)
Inequivalent atoms, fractional coordinates:
1 Mn 0.0000 0.0000 0.5000 x3  2 O 2.25
2 Te 0.5000 0.5000 0.5000 x1  12 Mn 3.18
3 O 0.0000 0.0000 0.0000 x1  6 Mn 2.25